1.
RbCdAgO2 after structural relaxation. Source: Alexandria via LeMat-Bulk, functional GGA-PBE.

Results
V: 428.5 Å³/cell
ΔE_f (raw): -793 meV per atom
spin magnetization: 0.0 μB per formula unit
theoretical density: 5.2 Mg/m³

a = 6.3341 Å, b = 12.9375 Å, c = 5.2292 Å
α = 90.00°, β = 90.00°, γ = 90.00°
Space group Cmme (No. 67)
Unique sites:
Rb 0.0000 0.2500 0.2266 [4 per cell]
Cd 0.2500 0.0000 0.0000 [4 per cell]
Ag 0.0000 0.0000 0.5000 [4 per cell]
O 0.0000 0.1019 0.8132 [8 per cell]

2.
CaPd2C after structural relaxation. Source: Alexandria via LeMat-Bulk, functional GGA-PBE.

Results
V: 266.1 Å³/cell
spin magnetization: 0.0 μB per formula unit
theoretical density: 6.6 Mg/m³
calculated formation energy: -75 meV/atom

a = 5.5498 Å, b = 8.8884 Å, c = 5.5376 Å
α = 90.00°, β = 103.05°, γ = 90.00°
Space group C2 (No. 5)
Unique sites:
Ca 0.1969 0.0000 0.2873 [4 per cell]
Pd 0.1689 0.6621 0.2421 [4 per cell]
Pd 0.2100 0.3377 0.2162 [4 per cell]
C 0.0000 0.5005 0.0000 [2 per cell]
C 0.0000 0.7650 0.5000 [2 per cell]